# 1
## K2H5Pd (PBE-GGA)

Data for a geometry-optimized K2H5Pd structure.

Lattice parameters (Å, degrees): 5.715 5.715 3.819 90.00 90.00 90.00
Space group P4/mmm (No. 123)
Asymmetric unit:
1 K 0.000 0.500 0.000 (multiplicity 2)
2 H 0.000 0.000 0.000 (multiplicity 1)
3 H 0.206 0.206 0.500 (multiplicity 4)
4 Pd 0.000 0.000 0.500 (multiplicity 1)

## Properties
* energy relative to the lowest polymorph listed for this composition: 0.0000 eV/atom

***

# 2
## Th5PdSe4 (PBE-GGA)

Data for a geometry-optimized Th5PdSe4 structure.

Lattice parameters (Å, degrees): 9.449 9.449 5.960 90.00 90.00 90.00
Space group I4/m (No. 87)
Asymmetric unit:
1 Th 0.000 0.000 0.000 (multiplicity 2)
2 Th 0.100 0.296 0.500 (multiplicity 8)
3 Pd 0.000 0.000 0.500 (multiplicity 2)
4 Se 0.098 0.302 0.000 (multiplicity 8)

## Properties
* formation energy from raw total energies: -1374.2 meV per atom

***

# 3
## PmZrCd (PBE-GGA)

Data for a geometry-optimized PmZrCd structure.

Lattice parameters (Å, degrees): 5.3146 5.3146 3.0440 90.00 90.00 120.00
Space group P3m1 (No. 156)
Asymmetric unit:
1 Pm 0.0000 0.0000 0.0000 (multiplicity 1)
2 Zr 0.3333 0.6667 0.0432 (multiplicity 1)
3 Cd 0.6667 0.3333 0.5175 (multiplicity 1)

## Properties
* DFT formation energy: 175 meV per atom
* energy relative to the lowest polymorph listed for this composition: 0.2544 eV/atom

***

# 4
## ZnCN2 (PBE-GGA)

Data for a geometry-optimized ZnCN2 structure.

Lattice parameters (Å, degrees): 5.216 5.216 5.216 90.00 90.00 90.00
Space group Fm-3m (No. 225)
Asymmetric unit:
1 Zn 0.000 0.000 0.000 (multiplicity 4)
2 C 0.000 0.000 0.500 (multiplicity 4)
3 N 0.250 0.250 0.250 (multiplicity 8)

## Properties
* formation energy from raw total energies: 2781.1 meV per atom

***

Short version: density of states at the Fermi level = 1.9; 8.7; 3.5; 2.8 states/eV/f.u., in the order given.